Model A:
Density functional theory data (PBE) for NiWAu2 after structural relaxation.

Cell: 4.0272 3.9972 3.9972 Å, 90.00 90.00 90.00°
Sites, in units of the cell vectors:
Au (0.0000, 0.5000, 0.5000)
Au (0.0000, 0.0000, 0.0000)
Ni (0.5000, 0.5000, 0.0000)
W (0.5000, 0.0000, 0.5000)

Calculated values
The magnetization is 2.928 μB/cell. Its space group is P4/mmm, No. 123.

=====

Model B:
Density functional theory data (PBE) for NiWAu2 after structural relaxation.

Cell: 4.8616 4.8616 4.9125 Å, 81.43 81.43 33.22°
Sites, in units of the cell vectors:
Au (0.5007, 0.5007, 0.4980)
Au (0.9993, 0.9993, 0.0020)
Ni (0.2500, 0.2500, 0.2500)
W (0.7500, 0.7500, 0.7500)

Calculated values
The magnetization is 0.000 μB/cell. Its space group is C2/m, No. 12.

=====

So which one is most stable? That would be model B, about 0.237 eV/atom below the next structure.

=====

Model A:
Density functional theory data (PBE) for NiWAu2 after structural relaxation.

Cell: 2.8073 2.8023 8.4577 Å, 70.57 90.00 90.00°
Sites, in units of the cell vectors:
Au (0.0000, 0.0102, 0.9886)
Au (0.5000, 0.2253, 0.2752)
Ni (0.0000, 0.4869, 0.5140)
W (0.5000, 0.7776, 0.7221)

Calculated values
The magnetization is 0.000 μB/cell. Its space group is Pm, No. 6.

=====

Model B:
Density functional theory data (PBE) for NiWAu2 after structural relaxation.

Cell: 2.7750 3.9848 5.6801 Å, 90.00 90.00 90.00°
Sites, in units of the cell vectors:
Ni (0.5000, 0.5000, 0.2500)
Au (0.0000, 0.0000, 0.0050)
Au (0.0000, 0.0000, 0.4950)
W (0.5000, 0.5000, 0.7500)

Calculated values
The magnetization is 0.000 μB/cell. Its space group is Pmmm, No. 47.

=====

Model C:
Density functional theory data (PBE) for NiWAu2 after structural relaxation.

Cell: 4.8254 4.8254 2.7748 Å, 90.00 90.00 90.00°
Sites, in units of the cell vectors:
Ni (0.5000, 0.0000, 0.5000)
Au (0.0000, 0.0000, 0.0000)
Au (0.5000, 0.5000, 0.0000)
W (0.0000, 0.5000, 0.5000)

Calculated values
The magnetization is 0.628 μB/cell. Its space group is P4/mmm, No. 123.

=====

Model D:
Density functional theory data (PBE) for NiWAu2 after structural relaxation.

Cell: 5.6006 5.6006 5.6006 Å, 151.42 129.85 58.74°
Sites, in units of the cell vectors:
W (0.2779, 0.7779, 0.5000)
Ni (0.4882, 0.4882, 0.0000)
Au (0.0088, 0.0088, 0.0000)
Au (0.7250, 0.2250, 0.5000)

Calculated values
The magnetization is 0.000 μB/cell. Its space group is Imm2, No. 44.

=====

So which one is most stable? That would be model A, about 0.216 eV/atom below the next structure.

=====

Model A:
Density functional theory data (PBE) for Ni2WAu after structural relaxation.

Cell: 2.7373 2.7373 7.4726 Å, 90.00 90.00 90.00°
Sites, in units of the cell vectors:
Au (0.5000, 0.5000, 0.7500)
W (0.5000, 0.5000, 0.2500)
Ni (0.0000, 0.0000, 0.0138)
Ni (0.0000, 0.0000, 0.4862)

Calculated values
The magnetization is 0.000 μB/cell. Its space group is P4/mmm, No. 123.

=====

Model B:
Density functional theory data (PBE) for Ni2WAu after structural relaxation.

Cell: 8.8563 8.8563 8.8563 Å, 17.85 17.85 17.85°
Sites, in units of the cell vectors:
Ni (0.2529, 0.2529, 0.2529)
Ni (0.9941, 0.9941, 0.9941)
W (0.5076, 0.5076, 0.5076)
Au (0.7454, 0.7454, 0.7454)

Calculated values
The magnetization is 0.000 μB/cell. Its space group is R3m, No. 160.

=====

Model C:
Density functional theory data (PBE) for Ni2WAu after structural relaxation.

Cell: 5.1998 5.1998 5.1998 Å, 148.93 129.70 60.31°
Sites, in units of the cell vectors:
Ni (0.7580, 0.2580, 0.5000)
Ni (0.9824, 0.9824, 0.0000)
Au (0.2397, 0.7397, 0.5000)
W (0.5199, 0.5199, 0.0000)

Calculated values
The magnetization is 0.000 μB/cell. Its space group is Imm2, No. 44.

=====

So which one is most stable? That would be model A, about 0.195 eV/atom below the next structure.

=====

Model A:
Density functional theory data (PBE) for Ni2WAu after structural relaxation.

Cell: 2.7460 3.5570 5.7201 Å, 90.00 90.00 90.00°
Sites, in units of the cell vectors:
Ni (0.0000, 0.0000, 0.4746)
Ni (0.0000, 0.0000, 0.0254)
Au (0.5000, 0.5000, 0.7500)
W (0.5000, 0.5000, 0.2500)

Calculated values
The magnetization is 0.000 μB/cell. Its space group is Pmmm, No. 47.

=====

Model B:
Density functional theory data (PBE) for Ni2WAu after structural relaxation.

Cell: 4.7276 4.7276 4.5519 Å, 78.81 78.81 33.76°
Sites, in units of the cell vectors:
Au (0.7472, 0.7472, 0.7653)
Ni (0.2531, 0.2531, 0.2625)
Ni (0.9923, 0.9923, 0.0020)
W (0.5074, 0.5074, 0.4701)

Calculated values
The magnetization is 0.000 μB/cell. Its space group is Cm, No. 8.

=====

So which one is most stable? That would be model A, about 0.071 eV/atom below the next structure.

=====

Model A:
Density functional theory data (PBE) for Ni2WAu after structural relaxation.

Cell: 4.1171 2.6961 5.1521 Å, 74.85 90.00 90.00°
Sites, in units of the cell vectors:
Ni (0.5000, 0.0555, 0.2619)
Ni (0.0000, 0.1886, 0.9993)
W (0.0000, 0.4586, 0.4581)
Au (0.5000, 0.7972, 0.7808)

Calculated values
The magnetization is 0.000 μB/cell. Its space group is Amm2, No. 38.

=====

Model B:
Density functional theory data (PBE) for Ni2WAu after structural relaxation.

Cell: 2.7282 3.8501 5.3234 Å, 90.00 90.00 90.00°
Sites, in units of the cell vectors:
W (0.0000, 0.0000, 0.4675)
Au (0.5000, 0.5000, 0.7620)
Ni (0.0000, 0.0000, 0.0175)
Ni (0.5000, 0.5000, 0.2531)

Calculated values
The magnetization is 0.000 μB/cell. Its space group is Pmm2, No. 25.

=====

So which one is most stable? That would be model A, about 0.019 eV/atom below the next structure.

=====

Model A:
Density functional theory data (PBE) for Ni2WAu after structural relaxation.

Cell: 4.4796 4.4796 4.9436 Å, 81.42 81.42 35.30°
Sites, in units of the cell vectors:
Au (0.7500, 0.7500, 0.7500)
Ni (0.9968, 0.9968, 0.0314)
Ni (0.5032, 0.5032, 0.4686)
W (0.2500, 0.2500, 0.2500)

Calculated values
The magnetization is 0.000 μB/cell. Its space group is C2/m, No. 12.

=====

Model B:
Density functional theory data (PBE) for Ni2WAu after structural relaxation.

Cell: 2.7580 2.7580 7.3038 Å, 90.00 90.00 90.00°
Sites, in units of the cell vectors:
Ni (0.5000, 0.5000, 0.2375)
Ni (0.0000, 0.0000, 0.0263)
Au (0.5000, 0.5000, 0.7663)
W (0.0000, 0.0000, 0.4700)

Calculated values
The magnetization is 0.007 μB/cell. Its space group is P4mm, No. 99.

=====

So which one is most stable? That would be model A, about 0.016 eV/atom below the next structure.